1.
DFT (PBE-GGA) results for an optimized crystal structure of BaSc2MoW.

## Properties
Total magnetic moment in μB per formula unit: 3.98
Volume in Å³/atom: 30.45
E_form in meV/atom: 1472

Cell lengths 5.1308, 5.1308, 5.7835 Å; angles 90.00, 90.00, 90.00 degrees
Last column: nearest neighbours and their distance in Å.
Atoms (fractional coordinates):
Ba  0.0000  0.0000  0.0000  2 W 2.89
Sc  0.0000  0.5000  0.5000  2 W 2.57
Sc  0.5000  0.0000  0.5000  2 W 2.57
Mo  0.5000  0.5000  0.0000  4 Ba 3.63, 8 Sc 3.87
W  0.0000  0.0000  0.5000  4 Sc 2.57



2.
DFT (PBE-GGA) results for an optimized crystal structure of BaMoSe.

## Properties
Formation energy from raw total energies in meV per atom: 423.4
Total magnetic moment in μB per formula unit: 4.31
Volume in Å³/atom: 31.69
Excess energy over the best structure of this formula in the dataset in meV per atom: 466

Cell lengths 5.1229, 5.1229, 5.1229 Å; angles 60.00, 60.00, 60.00 degrees
Last column: nearest neighbours and their distance in Å.
Atoms (fractional coordinates):
Ba  0.0000  0.0000  0.0000  4 Se 3.14
Mo  0.5000  0.5000  0.5000  4 Se 3.14
Se  0.2500  0.2500  0.2500  4 Ba 3.14, 4 Mo 3.14



3.
DFT (PBE-GGA) results for an optimized crystal structure of Ba2MoSe.

## Properties
Formation energy from raw total energies in meV per atom: 314.4
Total magnetic moment in μB per formula unit: 5.46
Volume in Å³/atom: 39.23

Cell lengths 4.1426, 4.1426, 9.1432 Å; angles 90.00, 90.00, 90.00 degrees
Last column: nearest neighbours and their distance in Å.
Atoms (fractional coordinates):
Ba  0.0000  0.0000  0.0000  1 Mo 3.27, 4 Se 3.39
Ba  0.5000  0.5000  0.4436  1 Se 3.38, 4 Mo 3.45
Mo  0.0000  0.0000  0.6426  5 Ba 3.27-3.45, 4 Se 3.32
Se  0.5000  0.5000  0.8128  4 Mo 3.32, 5 Ba 3.38-3.39



4.
DFT (PBE-GGA) results for an optimized crystal structure of Ba2MoSe.

## Properties
Formation energy from raw total energies in meV per atom: 39.0
Total magnetic moment in μB per formula unit: 4.13
Volume in Å³/atom: 39.01

Cell lengths 9.0159, 9.0159, 9.0159 Å; angles 29.37, 29.37, 29.37 degrees
Last column: nearest neighbours and their distance in Å.
Atoms (fractional coordinates):
Ba  0.2420  0.2420  0.2420  3 Se 3.28, 3 Mo 3.54
Ba  0.7580  0.7580  0.7580  3 Se 3.28, 3 Mo 3.54
Mo  0.0000  0.0000  0.0000  6 Ba 3.54
Se  0.5000  0.5000  0.5000  6 Ba 3.28



5.
DFT (PBE-GGA) results for an optimized crystal structure of Ba2Mo15Se19.

## Properties
Formation energy from raw total energies in meV per atom: -708.1
Total magnetic moment in μB per formula unit: 0.00
Volume in Å³/atom: 23.03

Cell lengths 20.2251, 20.2251, 20.2251 Å; angles 28.44, 28.44, 28.44 degrees
Last column: nearest neighbours and their distance in Å.
Atoms (fractional coordinates):
Ba  0.1160  0.1160  0.1160  5 Se 3.29-3.58
Ba  0.3840  0.3840  0.3840  5 Se 3.29-3.58
Ba  0.6160  0.6160  0.6160  5 Se 3.29-3.58
Ba  0.8840  0.8840  0.8840  5 Se 3.29-3.58
Mo  0.0008  0.8735  0.1836  5 Se 2.57-2.65, 4 Mo 2.68-2.73
Mo  0.0526  0.3590  0.2214  5 Se 2.55-2.73, 4 Mo 2.64-2.79
Mo  0.0932  0.2500  0.4068  4 Se 2.57-2.62, 6 Mo 2.70-2.79
Mo  0.1265  0.8164  0.9992  5 Se 2.57-2.65, 4 Mo 2.68-2.73
Mo  0.1410  0.4474  0.2786  5 Se 2.55-2.73, 4 Mo 2.64-2.79
Mo  0.1836  0.0008  0.8735  5 Se 2.57-2.65, 4 Mo 2.68-2.73
Mo  0.2214  0.0526  0.3590  5 Se 2.55-2.73, 4 Mo 2.64-2.79
Mo  0.2500  0.4068  0.0932  4 Se 2.57-2.62, 6 Mo 2.70-2.79
Mo  0.2786  0.1410  0.4474  5 Se 2.55-2.73, 4 Mo 2.64-2.79
Mo  0.3164  0.6265  0.4992  5 Se 2.57-2.65, 4 Mo 2.68-2.73
Mo  0.3590  0.2214  0.0526  5 Se 2.55-2.73, 4 Mo 2.64-2.79
Mo  0.3735  0.5008  0.6836  5 Se 2.57-2.65, 4 Mo 2.68-2.73
Mo  0.4068  0.0932  0.2500  4 Se 2.57-2.62, 6 Mo 2.70-2.79
Mo  0.4474  0.2786  0.1410  5 Se 2.55-2.73, 4 Mo 2.64-2.79
Mo  0.4992  0.3164  0.6265  5 Se 2.57-2.65, 4 Mo 2.68-2.73
Mo  0.5008  0.6836  0.3735  5 Se 2.57-2.65, 4 Mo 2.68-2.73
Mo  0.5526  0.7214  0.8590  5 Se 2.55-2.73, 4 Mo 2.64-2.79
Mo  0.5932  0.9068  0.7500  4 Se 2.57-2.62, 6 Mo 2.70-2.79
Mo  0.6265  0.4992  0.3164  5 Se 2.57-2.65, 4 Mo 2.68-2.73
Mo  0.6410  0.7786  0.9474  5 Se 2.55-2.73, 4 Mo 2.64-2.79
Mo  0.6836  0.3735  0.5008  5 Se 2.57-2.65, 4 Mo 2.68-2.73
Mo  0.7214  0.8590  0.5526  5 Se 2.55-2.73, 4 Mo 2.64-2.79
Mo  0.7500  0.5932  0.9068  4 Se 2.57-2.62, 6 Mo 2.70-2.79
Mo  0.7786  0.9474  0.6410  5 Se 2.55-2.73, 4 Mo 2.64-2.79
Mo  0.8164  0.9992  0.1265  5 Se 2.57-2.65, 4 Mo 2.68-2.73
Mo  0.8590  0.5526  0.7214  5 Se 2.55-2.73, 4 Mo 2.64-2.79
Mo  0.8735  0.1836  0.0008  5 Se 2.57-2.65, 4 Mo 2.68-2.73
Mo  0.9068  0.7500  0.5932  4 Se 2.57-2.62, 6 Mo 2.70-2.79
Mo  0.9474  0.6410  0.7786  5 Se 2.55-2.73, 4 Mo 2.64-2.79
Mo  0.9992  0.1265  0.8164  5 Se 2.57-2.65, 4 Mo 2.68-2.73
Se  0.0314  0.6887  0.4215  4 Mo 2.57-2.65
Se  0.0545  0.0545  0.0545  3 Mo 2.57
Se  0.0543  0.4457  0.7500  4 Mo 2.62-2.72
Se  0.0548  0.3012  0.6953  4 Mo 2.58-2.73
Se  0.0785  0.8113  0.4686  4 Mo 2.57-2.65
Se  0.1758  0.1758  0.1758  3 Mo 2.55
Se  0.1887  0.5314  0.9215  4 Mo 2.57-2.65
Se  0.1953  0.8012  0.5548  4 Mo 2.58-2.73
Se  0.1988  0.4452  0.8047  4 Mo 2.58-2.73
Se  0.2500  0.9457  0.5543  4 Mo 2.62-2.72
Se  0.3012  0.6953  0.0548  4 Mo 2.58-2.73
Se  0.3047  0.9452  0.6988  4 Mo 2.58-2.73
Se  0.3113  0.5785  0.9686  4 Mo 2.57-2.65
Se  0.3242  0.3242  0.3242  3 Mo 2.55
Se  0.4215  0.0314  0.6887  4 Mo 2.57-2.65
Se  0.4452  0.8047  0.1988  4 Mo 2.58-2.73
Se  0.4455  0.4455  0.4455  3 Mo 2.57
Se  0.4457  0.7500  0.0543  4 Mo 2.62-2.72
Se  0.4686  0.0785  0.8113  4 Mo 2.57-2.65
Se  0.5314  0.9215  0.1887  4 Mo 2.57-2.65
Se  0.5543  0.2500  0.9457  4 Mo 2.62-2.72
Se  0.5545  0.5545  0.5545  3 Mo 2.57
Se  0.5548  0.1953  0.8012  4 Mo 2.58-2.73
Se  0.5785  0.9686  0.3113  4 Mo 2.57-2.65
Se  0.6758  0.6758  0.6758  3 Mo 2.55
Se  0.6887  0.4215  0.0314  4 Mo 2.57-2.65
Se  0.6953  0.0548  0.3012  4 Mo 2.58-2.73
Se  0.6988  0.3047  0.9452  4 Mo 2.58-2.73
Se  0.7500  0.0543  0.4457  4 Mo 2.62-2.72
Se  0.8012  0.5548  0.1953  4 Mo 2.58-2.73
Se  0.8047  0.1988  0.4452  4 Mo 2.58-2.73
Se  0.8113  0.4686  0.0785  4 Mo 2.57-2.65
Se  0.8242  0.8242  0.8242  3 Mo 2.55
Se  0.9215  0.1887  0.5314  4 Mo 2.57-2.65
Se  0.9452  0.6988  0.3047  4 Mo 2.58-2.73
Se  0.9457  0.5543  0.2500  4 Mo 2.62-2.72
Se  0.9455  0.9455  0.9455  3 Mo 2.57
Se  0.9686  0.3113  0.5785  4 Mo 2.57-2.65



6.
DFT (PBE-GGA) results for an optimized crystal structure of BaMo3Se.

## Properties
Formation energy from raw total energies in meV per atom: 3132.9
Total magnetic moment in μB per formula unit: 3.11
Volume in Å³/atom: 25.32
Excess energy over the best structure of this formula in the dataset in meV per atom: 2015

Cell lengths 5.0211, 5.0211, 5.0211 Å; angles 90.00, 90.00, 90.00 degrees
Last column: nearest neighbours and their distance in Å.
Atoms (fractional coordinates):
Ba  0.0000  0.0000  0.0000  6 Mo 2.51
Mo  0.0000  0.0000  0.5000  2 Ba 2.51
Mo  0.0000  0.5000  0.0000  2 Ba 2.51
Mo  0.5000  0.0000  0.0000  2 Ba 2.51
Se  0.5000  0.5000  0.5000  12 Mo 3.55



7.
DFT (PBE-GGA) results for an optimized crystal structure of BaMoSe.

## Properties
Formation energy from raw total energies in meV per atom: -42.6
Total magnetic moment in μB per formula unit: 0.22
Volume in Å³/atom: 24.34
Excess energy over the best structure of this formula in the dataset in meV per atom: 0

Cell lengths 6.6064, 6.6064, 6.6064 Å; angles 149.74, 149.74, 43.32 degrees
Last column: nearest neighbours and their distance in Å.
Atoms (fractional coordinates):
Ba  0.0000  0.0000  0.0000  4 Ba 3.45, 5 Se 3.48-3.60, 5 Mo 3.49-3.64
Mo  0.7034  0.7034  0.0000  4 Se 2.63
Se  0.2838  0.2838  0.0000  4 Mo 2.63



8.
DFT (PBE-GGA) results for an optimized crystal structure of BaMoSe.

## Properties
Formation energy from raw total energies in meV per atom: 817.2
Total magnetic moment in μB per formula unit: 5.94
Volume in Å³/atom: 39.00
Excess energy over the best structure of this formula in the dataset in meV per atom: 860

Cell lengths 5.4900, 5.4900, 5.4900 Å; angles 60.00, 60.00, 60.00 degrees
Last column: nearest neighbours and their distance in Å.
Atoms (fractional coordinates):
Ba  0.0000  0.0000  0.0000  4 Mo 3.36, 4 Se 3.36
Mo  0.7500  0.7500  0.7500  4 Ba 3.36
Se  0.2500  0.2500  0.2500  4 Ba 3.36



9.
DFT (PBE-GGA) results for an optimized crystal structure of Ba2MoSe.

## Properties
Formation energy from raw total energies in meV per atom: 176.6
Total magnetic moment in μB per formula unit: 4.04
Volume in Å³/atom: 34.74

Cell lengths 7.0503, 7.0503, 7.0503 Å; angles 140.78, 140.78, 56.67 degrees
Last column: nearest neighbours and their distance in Å.
Atoms (fractional coordinates):
Ba  0.0000  0.0000  0.0000  4 Se 3.35
Ba  0.7500  0.2500  0.5000  4 Mo 3.35
Mo  0.2500  0.7500  0.5000  4 Ba 3.35
Se  0.5000  0.5000  0.0000  4 Ba 3.35



10.
DFT (PBE-GGA) results for an optimized crystal structure of Ba2MoSe.

## Properties
Formation energy from raw total energies in meV per atom: 241.7
Total magnetic moment in μB per formula unit: 4.00
Volume in Å³/atom: 41.54

Cell lengths 7.5578, 7.5578, 7.5578 Å; angles 109.15, 109.15, 110.12 degrees
Last column: nearest neighbours and their distance in Å.
Atoms (fractional coordinates):
Ba  0.1014  0.1250  0.4764  2 Se 3.15, 2 Mo 3.42
Ba  0.3750  0.8986  0.0236  2 Se 3.15, 2 Mo 3.42
Ba  0.6486  0.6250  0.5236  2 Se 3.15, 2 Mo 3.42
Ba  0.8750  0.3514  0.9764  2 Se 3.15, 2 Mo 3.42
Mo  0.2500  0.7500  0.5000  4 Ba 3.42
Mo  0.5000  0.5000  0.0000  4 Ba 3.42
Se  0.0000  0.0000  0.0000  4 Ba 3.15
Se  0.7500  0.2500  0.5000  4 Ba 3.15



11.
DFT (PBE-GGA) results for an optimized crystal structure of Ba2MoSe.

## Properties
Formation energy from raw total energies in meV per atom: 472.9
Total magnetic moment in μB per formula unit: 3.64
Volume in Å³/atom: 30.11

Cell lengths 5.5431, 5.5431, 5.5431 Å; angles 60.00, 60.00, 60.00 degrees
Last column: nearest neighbours and their distance in Å.
Atoms (fractional coordinates):
Ba  0.0000  0.0000  0.0000  4 Mo 3.39, 4 Ba 3.39
Ba  0.2500  0.2500  0.2500  4 Se 3.39, 4 Ba 3.39
Mo  0.7500  0.7500  0.7500  4 Ba 3.39, 4 Se 3.39
Se  0.5000  0.5000  0.5000  4 Mo 3.39, 4 Ba 3.39



12.
DFT (PBE-GGA) results for an optimized crystal structure of BaMoSe.

## Properties
Formation energy from raw total energies in meV per atom: -41.4
Total magnetic moment in μB per formula unit: 0.00
Volume in Å³/atom: 27.82
Excess energy over the best structure of this formula in the dataset in meV per atom: 1

Cell lengths 4.2953, 4.2953, 5.2225 Å; angles 90.00, 90.00, 120.00 degrees
Last column: nearest neighbours and their distance in Å.
Atoms (fractional coordinates):
Ba  0.0000  0.0000  0.0000  6 Mo 3.60, 6 Se 3.60
Mo  0.6667  0.3333  0.5000  3 Se 2.48
Se  0.3333  0.6667  0.5000  3 Mo 2.48



13.
DFT (PBE-GGA) results for an optimized crystal structure of Ba2MoSe.

## Properties
Formation energy from raw total energies in meV per atom: -70.0
Total magnetic moment in μB per formula unit: 1.90
Volume in Å³/atom: 33.03

Cell lengths 4.7200, 6.2667, 6.2667 Å; angles 45.46, 90.00, 90.00 degrees
Last column: nearest neighbours and their distance in Å.
Atoms (fractional coordinates):
Ba  0.0000  0.0000  0.0000  3 Mo 3.24-3.62, 4 Se 3.54
Ba  0.5000  0.2895  0.2895  3 Se 3.34-3.48, 4 Mo 3.58
Mo  0.0000  0.6867  0.6867  2 Se 2.61
Se  0.5000  0.5904  0.5904  2 Mo 2.61



14.
DFT (PBE-GGA) results for an optimized crystal structure of Ba2MoSe.

## Properties
Formation energy from raw total energies in meV per atom: -1.8
Total magnetic moment in μB per formula unit: 3.78
Volume in Å³/atom: 33.50

Cell lengths 4.0302, 4.0302, 8.2503 Å; angles 90.00, 90.00, 90.00 degrees
Last column: nearest neighbours and their distance in Å.
Atoms (fractional coordinates):
Ba  0.0000  0.0000  0.2309  4 Se 3.43, 4 Mo 3.61, 1 Ba 3.81
Ba  0.0000  0.0000  0.7691  4 Se 3.43, 4 Mo 3.61, 1 Ba 3.81
Mo  0.5000  0.5000  0.5000  8 Ba 3.61, 4 Mo 4.03
Se  0.5000  0.5000  0.0000  8 Ba 3.43



15.
DFT (PBE-GGA) results for an optimized crystal structure of Ba2MoSe.

## Properties
Formation energy from raw total energies in meV per atom: -10.2
Total magnetic moment in μB per formula unit: 2.02
Volume in Å³/atom: 32.13

Cell lengths 7.2066, 7.2066, 7.2066 Å; angles 149.43, 137.23, 53.48 degrees
Last column: nearest neighbours and their distance in Å.
Atoms (fractional coordinates):
Ba  0.0000  0.0000  0.0000  4 Se 3.43, 2 Ba 3.80
Ba  0.7182  0.2182  0.5000  4 Mo 3.32, 2 Se 3.63
Mo  0.2754  0.7754  0.5000  2 Se 2.60
Se  0.4130  0.4130  0.0000  2 Mo 2.60



16.
DFT (PBE-GGA) results for an optimized crystal structure of BaMo3Se.

## Properties
Formation energy from raw total energies in meV per atom: 1117.8
Total magnetic moment in μB per formula unit: 0.00
Volume in Å³/atom: 22.60
Excess energy over the best structure of this formula in the dataset in meV per atom: 0

Cell lengths 4.8349, 4.8349, 4.8349 Å; angles 90.00, 90.00, 90.00 degrees
Last column: nearest neighbours and their distance in Å.
Atoms (fractional coordinates):
Ba  0.0000  0.0000  0.0000  12 Mo 3.42
Mo  0.0000  0.5000  0.5000  2 Se 2.42
Mo  0.5000  0.0000  0.5000  2 Se 2.42
Mo  0.5000  0.5000  0.0000  2 Se 2.42
Se  0.5000  0.5000  0.5000  6 Mo 2.42



17.
DFT (PBE-GGA) results for an optimized crystal structure of BaYMoSe2.

## Properties
Formation energy from raw total energies in meV per atom: 469.5
Total magnetic moment in μB per formula unit: 5.88
Volume in Å³/atom: 40.67

Cell lengths 5.4235, 5.4235, 6.9138 Å; angles 90.00, 90.00, 90.00 degrees
Last column: nearest neighbours and their distance in Å.
Atoms (fractional coordinates):
Ba  0.0000  0.0000  0.0000  2 Y 3.46, 4 Mo 3.83
Y  0.0000  0.0000  0.5000  4 Se 2.71
Mo  0.5000  0.5000  0.0000  4 Ba 3.83
Se  0.0000  0.5000  0.5000  2 Y 2.71
Se  0.5000  0.0000  0.5000  2 Y 2.71



18.
DFT (PBE-GGA) results for an optimized crystal structure of BaSiMo.

## Properties
Formation energy from raw total energies in meV per atom: 189.6
Total magnetic moment in μB per formula unit: 0.00
Volume in Å³/atom: 24.34

Cell lengths 6.3954, 6.3954, 3.5165 Å; angles 101.39, 101.39, 31.25 degrees
Last column: nearest neighbours and their distance in Å.
Atoms (fractional coordinates):
Ba  0.0000  0.0000  0.0000  3 Si 3.21-3.51, 1 Mo 3.33, 4 Ba 3.44-3.52
Si  0.7339  0.7339  0.8282  4 Mo 2.49-2.51
Mo  0.2719  0.2719  0.3592  4 Si 2.49-2.51



19.
DFT (PBE-GGA) results for an optimized crystal structure of BaSi4Mo.

## Properties
Formation energy from raw total energies in meV per atom: 597.5
Total magnetic moment in μB per formula unit: 2.08
Volume in Å³/atom: 19.05

Cell lengths 5.4478, 5.4478, 5.4478 Å; angles 60.00, 60.00, 60.00 degrees
Last column: nearest neighbours and their distance in Å.
Atoms (fractional coordinates):
Ba  0.0000  0.0000  0.0000  12 Si 3.21, 4 Mo 3.34
Si  0.3824  0.3824  0.3824  3 Si 2.56
Si  0.3824  0.3824  0.8529  3 Si 2.56
Si  0.3824  0.8529  0.3824  3 Si 2.56
Si  0.8529  0.3824  0.3824  3 Si 2.56
Mo  0.7500  0.7500  0.7500  12 Si 3.18, 4 Ba 3.34



20.
DFT (PBE-GGA) results for an optimized crystal structure of BaSiMo.

## Properties
Formation energy from raw total energies in meV per atom: 494.1
Total magnetic moment in μB per formula unit: 0.95
Volume in Å³/atom: 25.95

Cell lengths 3.8210, 3.8210, 6.1568 Å; angles 90.00, 90.00, 120.00 degrees
Last column: nearest neighbours and their distance in Å.
Atoms (fractional coordinates):
Ba  0.0000  0.0000  0.0000  3 Si 3.30, 3 Mo 3.44
Si  0.3333  0.6667  0.6018  3 Mo 2.45
Mo  0.6667  0.3333  0.4285  3 Si 2.45